Record 1
NaBiRuRh2 | GGA-PBE | relaxed

Cell and atoms, written as extended XYZ:
```
5
Lattice="5.050 0.000 0.000 0.000 5.050 0.000 0.000 0.000 5.065" Properties=species:S:1:pos:R:3 pbc="T T T"
Na 0.000 0.000 0.000
Bi 2.525 2.525 2.533
Ru 2.525 2.525 0.000
Rh 0.000 2.525 2.533
Rh 2.525 0.000 2.533
```

Calculated values
total moment = 1.88 μB per formula unit
calculated total energy = -23.2 eV per cell
space group = No. 123
E_form = 6.001 eV per formula unit

---

Record 2
LuNbS2 | GGA-PBE | relaxed

Cell and atoms, written as extended XYZ:
```
4
Lattice="1.717 0.992 8.439 -1.717 0.992 8.439 0.000 -1.983 8.439" Properties=species:S:1:pos:R:3 pbc="T T T"
Lu 0.000 0.000 0.000
Nb 0.000 0.000 12.658
S 0.000 0.000 2.650
S 0.000 0.000 22.666
```

Calculated values
total moment = 0.00 μB per formula unit
calculated total energy = -26.4 eV per cell
space group = No. 166

---

Record 3
SrRe2Sn | GGA-PBE | relaxed

Cell and atoms, written as extended XYZ:
```
8
Lattice="-4.063 4.063 2.799 4.063 -4.063 2.799 4.063 4.063 -2.799" Properties=species:S:1:pos:R:3 pbc="T T T"
Sr 0.000 0.000 0.000
Sr 0.000 4.063 1.399
Re 2.031 -1.591 2.099
Re 2.471 2.031 0.700
Re 2.031 5.654 -0.700
Re 1.591 2.031 3.498
Sn 4.063 0.000 1.399
Sn 0.000 0.000 2.799
```

Calculated values
total moment = 0.00 μB per formula unit
calculated total energy = -49.9 eV per cell
space group = No. 122
E_form = 5.614 eV per formula unit

---

Record 4
KBa2Sr | GGA-PBE | relaxed

Cell and atoms, written as extended XYZ:
```
4
Lattice="2.216 1.279 14.923 -2.216 1.279 14.923 0.000 -2.559 14.923" Properties=species:S:1:pos:R:3 pbc="T T T"
K 0.000 0.000 0.000
Ba 0.000 0.000 25.929
Ba 0.000 0.000 33.758
Sr 0.000 0.000 7.457
```

Calculated values
total moment = 0.00 μB per formula unit
calculated total energy = -6.4 eV per cell
space group = No. 160
E above lowest polymorph = 0 meV/atom
E_form = 0.181 eV per formula unit

---

Record 5
Y2CuCl | GGA-PBE | relaxed

Cell and atoms, written as extended XYZ:
```
4
Lattice="3.456 0.000 0.000 0.000 3.503 0.000 0.000 0.000 7.966" Properties=species:S:1:pos:R:3 pbc="T T T"
Y 0.000 0.000 1.704
Y 0.000 0.000 6.261
Cu 1.728 1.751 0.000
Cl 1.728 0.000 3.983
```

Calculated values
total moment = 0.00 μB per formula unit
calculated total energy = -21.8 eV per cell
space group = No. 47
E above lowest polymorph = 49 meV/atom

---

Record 6
ZrB2Pt2 | GGA-PBE | relaxed

Cell and atoms, written as extended XYZ:
```
5
Lattice="-1.971 1.971 4.359 1.971 -1.971 4.359 1.971 1.971 -4.359" Properties=species:S:1:pos:R:3 pbc="T T T"
Zr 0.000 0.000 0.000
B 1.971 0.000 2.180
B 0.000 1.971 2.180
Pt 0.000 0.000 3.066
Pt 0.000 0.000 5.653
```

Calculated values
total moment = 0.00 μB per formula unit
calculated total energy = -36.3 eV per cell
space group = No. 139
E_form = -2.347 eV per formula unit

---

Record 7
Sn2RuF | GGA-PBE | relaxed

Cell and atoms, written as extended XYZ:
```
8
Lattice="-2.841 2.841 6.098 2.841 -2.841 6.098 2.841 2.841 -6.098" Properties=species:S:1:pos:R:3 pbc="T T T"
Sn 4.262 1.406 -1.524
Sn 1.406 1.421 1.524
Sn -1.421 1.435 4.573
Sn 1.435 1.421 7.622
Ru 2.841 0.000 3.049
Ru 0.000 0.000 6.098
F 0.000 0.000 0.000
F 0.000 2.841 3.049
```

Calculated values
total moment = 0.00 μB per formula unit
calculated total energy = -40.5 eV per cell
space group = No. 122
E above lowest polymorph = 116 meV/atom

---

Record 8
Y6Ho2Er3Th | GGA-PBE | relaxed

Cell and atoms, written as extended XYZ:
```
12
Lattice="3.078 -5.326 0.000 3.078 5.326 0.000 -2.051 0.000 11.594" Properties=species:S:1:pos:R:3 pbc="T T T"
Y -0.004 1.760 8.696
Y 1.004 0.000 2.898
Y -0.004 -1.760 8.696
Y 4.108 1.760 2.898
Y 3.100 0.000 8.695
Y 4.108 -1.760 2.898
Ho 2.052 1.775 5.797
Ho 2.052 -1.775 5.797
Er 3.078 3.543 0.000
Er 3.078 0.000 0.000
Er 3.078 -3.543 0.000
Th -1.026 0.000 5.797
```

Calculated values
total moment = 0.02 μB per formula unit
calculated total energy = -68.7 eV per cell
space group = No. 12
E_form = 0.346 eV per formula unit

---

Record 9
SmGa3CoRh | GGA-PBE | relaxed

Cell and atoms, written as extended XYZ:
```
12
Lattice="3.802 -5.310 0.000 3.802 5.310 0.000 0.000 0.000 5.568" Properties=species:S:1:pos:R:3 pbc="T T T"
Sm 3.802 3.031 4.176
Sm 3.802 -3.031 1.392
Ga 1.890 0.000 0.000
Ga 1.890 0.000 2.784
Ga 3.802 1.905 1.392
Ga 3.802 -1.905 4.176
Ga 5.715 0.000 0.000
Ga 5.715 0.000 2.784
Co 3.802 0.400 4.176
Co 3.802 -0.400 1.392
Rh 3.802 4.359 1.392
Rh 3.802 -4.359 4.176
```

Calculated values
total moment = 0.00 μB per formula unit
calculated total energy = -61.4 eV per cell
space group = No. 63
E_form = -2.466 eV per formula unit

---

Record 10
Th2Ni12AgP3 | GGA-PBE | relaxed

Cell and atoms, written as extended XYZ:
```
18
Lattice="3.833 2.213 5.585 -3.833 2.213 5.585 0.000 -4.426 5.585" Properties=species:S:1:pos:R:3 pbc="T T T"
Th 0.000 0.000 1.879
Th 0.000 0.000 14.875
Ni -2.035 -1.175 7.714
Ni 0.000 -1.987 5.167
Ni -1.721 0.993 5.167
Ni 0.000 -2.349 9.040
Ni -2.035 1.175 9.040
Ni -1.721 -0.993 11.587
Ni 1.721 0.993 5.167
Ni 2.035 -1.175 7.714
Ni 0.000 2.349 7.714
Ni 1.721 -0.993 11.587
Ni 0.000 1.987 11.587
Ni 2.035 1.175 9.040
Ag 0.000 0.000 8.377
P -1.917 -1.107 5.585
P -1.917 1.107 11.169
P 0.000 2.213 5.585
```

Calculated values
total moment = 0.00 μB per formula unit
calculated total energy = -104.2 eV per cell
space group = No. 166
E_form = -0.902 eV per formula unit

---

Record 11
CaAl2Ga2 | GGA-PBE | relaxed

Cell and atoms, written as extended XYZ:
```
5
Lattice="-2.133 2.133 5.551 2.133 -2.133 5.551 2.133 2.133 -5.551" Properties=species:S:1:pos:R:3 pbc="T T T"
Ca 0.000 0.000 0.000
Al 2.133 0.000 2.775
Al 0.000 2.133 2.775
Ga 0.000 0.000 4.298
Ga 0.000 0.000 6.803
```

Calculated values
total moment = 0.00 μB per formula unit
calculated total energy = -17.3 eV per cell
space group = No. 139
E_form = -1.723 eV per formula unit

---

Record 12
CdIn2Re | GGA-PBE | relaxed

Cell and atoms, written as extended XYZ:
```
4
Lattice="3.713 0.000 0.000 0.000 3.713 0.000 0.000 0.000 5.847" Properties=species:S:1:pos:R:3 pbc="T T T"
Cd 0.000 0.000 0.000
In 0.000 0.000 3.112
In 1.856 1.856 1.437
Re 1.856 1.856 4.352
```

Calculated values
total moment = 0.00 μB per formula unit
calculated total energy = -16.6 eV per cell
space group = No. 99
E_form = 2.192 eV per formula unit

---

Record 13
LaFe2Os | GGA-PBE | relaxed

Cell and atoms, written as extended XYZ:
```
4
Lattice="2.921 0.000 0.000 0.000 2.921 0.000 0.000 0.000 7.442" Properties=species:S:1:pos:R:3 pbc="T T T"
La 0.000 0.000 0.000
Fe 1.460 1.460 2.283
Fe 1.460 1.460 5.159
Os 0.000 0.000 3.721
```

Calculated values
total moment = 0.00 μB per formula unit
calculated total energy = -31.4 eV per cell
space group = No. 123
E above lowest polymorph = 339 meV/atom
E_form = 1.700 eV per formula unit

---

Record 14
Hg2Pd7Au2 | GGA-PBE | relaxed

Cell and atoms, written as extended XYZ:
```
11
Lattice="-2.210 6.128 3.549 2.210 -6.128 3.549 2.210 6.128 -3.549" Properties=species:S:1:pos:R:3 pbc="T T T"
Hg 0.000 2.486 0.000
Hg 0.000 9.770 0.000
Pd 2.210 -1.800 1.475
Pd 0.000 0.000 1.418
Pd 2.210 4.281 -0.056
Pd 2.210 1.800 1.475
Pd 0.000 4.349 2.038
Pd 0.000 1.847 3.493
Pd 0.000 7.907 2.038
Au 2.210 0.000 3.495
Au 0.000 0.000 5.614
```

Calculated values
total moment = 0.00 μB per formula unit
calculated total energy = -43.7 eV per cell
space group = No. 44
E above lowest polymorph = 0 meV/atom
E_form = -0.169 eV per formula unit

---

Record 15
KW2Se | GGA-PBE | relaxed

Cell and atoms, written as extended XYZ:
```
4
Lattice="3.321 0.000 0.000 0.000 3.321 0.000 0.000 0.000 8.133" Properties=species:S:1:pos:R:3 pbc="T T T"
K 0.000 0.000 0.000
W 0.000 0.000 4.049
W 1.661 1.661 5.275
Se 1.661 1.661 2.476
```

Calculated values
total moment = 0.95 μB per formula unit
calculated total energy = -28.5 eV per cell
space group = No. 99

---

Record 16
LaTbSm | GGA-PBE | relaxed

Cell and atoms, written as extended XYZ:
```
6
Lattice="3.645 0.000 0.000 -1.823 3.157 0.000 0.000 0.000 17.902" Properties=species:S:1:pos:R:3 pbc="T T T"
La 0.000 0.000 0.000
La 0.000 0.000 8.951
Tb 0.000 2.105 3.013
Tb 1.823 1.052 11.964
Sm 0.000 2.105 14.826
Sm 1.823 1.052 5.875
```

Calculated values
total moment = 0.00 μB per formula unit
calculated total energy = -28.4 eV per cell
space group = No. 186
E above lowest polymorph = 4 meV/atom
E_form = 0.066 eV per formula unit

---

Record 17
HfZn2Sb2 | GGA-PBE | relaxed

Cell and atoms, written as extended XYZ:
```
10
Lattice="7.399 0.000 0.000 0.000 7.399 0.000 0.000 0.000 3.747" Properties=species:S:1:pos:R:3 pbc="T T T"
Hf 0.000 0.000 0.000
Hf 3.699 3.699 0.000
Zn 0.900 2.799 0.000
Zn 2.799 6.499 0.000
Zn 4.599 0.900 0.000
Zn 6.499 4.599 0.000
Sb 1.334 5.033 1.874
Sb 2.365 1.334 1.874
Sb 5.033 6.064 1.874
Sb 6.064 2.365 1.874
```

Calculated values
total moment = 0.00 μB per formula unit
calculated total energy = -41.2 eV per cell
space group = No. 127

---

Record 18
CoSbRhI2 | GGA-PBE | relaxed

Cell and atoms, written as extended XYZ:
```
5
Lattice="5.536 0.000 0.000 0.000 5.536 0.000 0.000 0.000 4.975" Properties=species:S:1:pos:R:3 pbc="T T T"
Co 0.000 0.000 0.000
Sb 2.768 2.768 0.000
Rh 2.768 2.768 2.487
I 0.000 2.768 2.487
I 2.768 0.000 2.487
```

Calculated values
total moment = 2.46 μB per formula unit
calculated total energy = -17.4 eV per cell
space group = No. 123
E above lowest polymorph = 0 meV/atom

---

Record 19
AlTe2I | GGA-PBE | relaxed

Cell and atoms, written as extended XYZ:
```
8
Lattice="-3.849 3.849 5.046 3.849 -3.849 5.046 3.849 3.849 -5.046" Properties=species:S:1:pos:R:3 pbc="T T T"
Al 0.000 0.000 0.000
Al 0.000 3.849 2.523
Te 5.773 1.346 -1.262
Te 1.346 1.924 1.262
Te -1.924 2.503 3.785
Te 2.503 1.924 6.308
I 3.849 0.000 2.523
I 0.000 0.000 5.046
```

Calculated values
total moment = 0.00 μB per formula unit
calculated total energy = -22.9 eV per cell
space group = No. 122
E above lowest polymorph = 244 meV/atom

---

Record 20
Sr2Mg2Bi2P | GGA-PBE | relaxed

Cell and atoms, written as extended XYZ:
```
7
Lattice="-2.472 2.472 8.795 2.472 -2.472 8.795 2.472 2.472 -8.795" Properties=species:S:1:pos:R:3 pbc="T T T"
Sr 0.000 0.000 2.978
Sr 0.000 0.000 14.612
Mg 2.472 0.000 0.000
Mg 0.000 2.472 0.000
Bi 0.000 0.000 6.485
Bi 0.000 0.000 11.106
P 0.000 0.000 0.000
```

Calculated values
total moment = 0.00 μB per formula unit
calculated total energy = -24.4 eV per cell
space group = No. 139
E_form = -4.628 eV per formula unit